(1)
# LiLa2Zn3Pt4 | Alexandria | PBE | optimized geometry
data_LiLa2Zn3Pt4
_symmetry_space_group_name_H-M 'P -4 m 2'
_symmetry_Int_Tables_number 115
_cell_length_a 4.180
_cell_length_b 4.180
_cell_length_c 11.135
_cell_angle_alpha 90.00
_cell_angle_beta 90.00
_cell_angle_gamma 90.00
loop_
_symmetry_equiv_pos_as_xyz
'x,y,z'
'y,-x,-z'
'-x,-y,z'
'-y,x,-z'
'-x,y,z'
'-y,-x,-z'
'x,-y,z'
'y,x,-z'
loop_
_atom_site_label
_atom_site_type_symbol
_atom_site_fract_x
_atom_site_fract_y
_atom_site_fract_z
Li1 Li 0.000 0.000 0.000
La1 La 0.000 0.500 0.745
Zn1 Zn 0.000 0.500 0.370
Zn2 Zn 0.500 0.500 0.000
Pt1 Pt 0.000 0.000 0.500
Pt2 Pt 0.000 0.500 0.143
Pt3 Pt 0.500 0.500 0.500
# DFT formation energy in meV/atom: -806
# Crystal system: tetragonal
# Uncorrected energy in eV/cell: -47.82



(2)
# LiLa2ZnPt6 | Alexandria | PBE | optimized geometry
data_LiLa2ZnPt6
_symmetry_space_group_name_H-M 'C 1 2/m 1'
_symmetry_Int_Tables_number 12
_cell_length_a 9.749
_cell_length_b 5.629
_cell_length_c 8.762
_cell_angle_alpha 90.00
_cell_angle_beta 111.62
_cell_angle_gamma 90.00
loop_
_symmetry_equiv_pos_as_xyz
'x,y,z'
'-x,-y,-z'
'-x,y,-z'
'x,-y,z'
'x+1/2,y+1/2,z'
'-x+1/2,-y+1/2,-z'
'-x+1/2,y+1/2,-z'
'x+1/2,-y+1/2,z'
loop_
_atom_site_label
_atom_site_type_symbol
_atom_site_fract_x
_atom_site_fract_y
_atom_site_fract_z
Li1 Li 0.000 0.000 0.000
La1 La 0.205 0.000 0.616
Zn1 Zn 0.000 0.500 0.500
Pt1 Pt 0.005 0.247 0.260
Pt2 Pt 0.248 0.500 0.740
# DFT formation energy in meV/atom: -730
# Crystal system: monoclinic
# Uncorrected energy in eV/cell: -113.18



(3)
# LiLaZnPt2 | Alexandria | PBE | optimized geometry
data_LiLaZnPt2
_symmetry_space_group_name_H-M 'I -4 m 2'
_symmetry_Int_Tables_number 119
_symmetry_space_group_name_Hall 'I -4 -2'
_cell_length_a 3.984
_cell_length_b 3.984
_cell_length_c 12.266
_cell_angle_alpha 90.00
_cell_angle_beta 90.00
_cell_angle_gamma 90.00
loop_
_atom_site_label
_atom_site_type_symbol
_atom_site_fract_x
_atom_site_fract_y
_atom_site_fract_z
Li1 Li 0.000 0.000 0.000
La1 La 0.000 0.500 0.750
Zn1 Zn 0.000 0.000 0.500
Pt1 Pt 0.000 0.500 0.138
# DFT formation energy in meV/atom: -847
# Crystal system: tetragonal
# Uncorrected energy in eV/cell: -48.86



(4)
# LiLa2Zn4Pt3 | Alexandria | PBE | optimized geometry
data_LiLa2Zn4Pt3
_symmetry_space_group_name_H-M 'P -4 m 2'
_symmetry_Int_Tables_number 115
_cell_length_a 4.116
_cell_length_b 4.116
_cell_length_c 11.648
_cell_angle_alpha 90.00
_cell_angle_beta 90.00
_cell_angle_gamma 90.00
loop_
_symmetry_equiv_pos_as_xyz
'x,y,z'
'y,-x,-z'
'-x,-y,z'
'-y,x,-z'
'-x,y,z'
'-y,-x,-z'
'x,-y,z'
'y,x,-z'
loop_
_atom_site_label
_atom_site_type_symbol
_atom_site_fract_x
_atom_site_fract_y
_atom_site_fract_z
Li1 Li 0.000 0.000 0.000
La1 La 0.000 0.500 0.739
Zn1 Zn 0.000 0.000 0.500
Zn2 Zn 0.000 0.500 0.131
Zn3 Zn 0.500 0.500 0.500
Pt1 Pt 0.000 0.500 0.356
Pt2 Pt 0.500 0.500 0.000
# DFT formation energy in meV/atom: -714
# Crystal system: tetragonal
# Uncorrected energy in eV/cell: -42.13



(5)
# LiLa2Zn2Pt5 | Alexandria | PBE | optimized geometry
data_LiLa2Zn2Pt5
_symmetry_space_group_name_H-M 'P 4/m b m'
_symmetry_Int_Tables_number 127
_symmetry_space_group_name_Hall '-P 4 2ab'
_cell_length_a 9.848
_cell_length_b 9.848
_cell_length_c 3.843
_cell_angle_alpha 90.00
_cell_angle_beta 90.00
_cell_angle_gamma 90.00
loop_
_atom_site_label
_atom_site_type_symbol
_atom_site_fract_x
_atom_site_fract_y
_atom_site_fract_z
Li1 Li 0.000 0.000 0.000
La1 La 0.179 0.321 0.000
Zn1 Zn 0.119 0.619 0.000
Pt1 Pt 0.000 0.500 0.500
Pt2 Pt 0.063 0.797 0.500
# DFT formation energy in meV/atom: -735
# Crystal system: tetragonal
# Uncorrected energy in eV/cell: -103.75



(6)
# LiLaPu | Alexandria | PBE | optimized geometry
data_LiLaPu
_symmetry_space_group_name_H-M 'C m c m'
_symmetry_Int_Tables_number 63
_symmetry_space_group_name_Hall '-C 2c 2'
_cell_length_a 3.285
_cell_length_b 26.462
_cell_length_c 3.602
_cell_angle_alpha 90.00
_cell_angle_beta 90.00
_cell_angle_gamma 90.00
loop_
_atom_site_label
_atom_site_type_symbol
_atom_site_fract_x
_atom_site_fract_y
_atom_site_fract_z
Li1 Li 0.000 0.043 0.250
La1 La 0.000 0.359 0.250
Pu1 Pu 0.000 0.249 0.750
# DFT formation energy in meV/atom: 377
# Crystal system: orthorhombic
# Uncorrected energy in eV/cell: -80.17



| no. | D(E_F) (states/eV/cell) |
| --- | --- |
| 1 | 3.6 |
| 2 | 11.4 |
| 3 | 4.3 |
| 4 | 3.4 |
| 5 | 7.7 |
| 6 | 14.7 |